LiTbMnSe3 | PBE | relaxed

The value obtained for the density of states at the Fermi level is 0.039 states/eV per atom. The total energy is -5.536 eV per atom. As for the formation energy from raw total energies: -1.1743 eV per atom.

The space group is P2_1/m (No. 11) and the conventional cell measures 7.874, 3.925 and 8.712 Å, with angles of 90.00, 104.73 and 90.00 degrees. The distinct sites, in fractional coordinates, are Li at (0.098, 0.250, 0.094), Tb at (0.197, 0.250, 0.737), Mn at (0.331, 0.750, 0.338), Se at (0.094, 0.250, 0.375), Se at (0.240, 0.750, 0.003) and Se at (0.432, 0.750, 0.654).